# Pm2Sm2Dy3 (PBE, relaxed)
# Crystal system: monoclinic
# Raw total energy, eV for the cell shown: -31.9
# Volume, Å³/cell: 233.5
# Offset from the most stable computed form, eV/atom: 0.000
data_Pm2Sm2Dy3
_symmetry_space_group_name_H-M 'P 1'
_symmetry_Int_Tables_number 1
_cell_length_a 3.509
_cell_length_b 8.803
_cell_length_c 8.624
_cell_angle_alpha 115.86
_cell_angle_beta 101.74
_cell_angle_gamma 90.00
loop_
_symmetry_equiv_pos_as_xyz
'x,y,z'
loop_
_atom_site_label
_atom_site_type_symbol
_atom_site_fract_x
_atom_site_fract_y
_atom_site_fract_z
Dy1 Dy 0.221 0.645 0.442
Sm1 Sm 0.079 0.204 0.158
Dy2 Dy 0.779 0.355 0.558
Pm1 Pm 0.638 0.908 0.275
Dy3 Dy 0.000 0.500 0.000
Pm2 Pm 0.362 0.092 0.725
Sm2 Sm 0.921 0.796 0.842